(1)
Sr3Ac2PuN6: optimized geometry, PBE.

Results
**Formation energy without anion corrections**: -0.92 eV per atom

Geometry as CIF:
```
data_Sr3Ac2PuN6
_chemical_formula_sum 'Sr6 Ac4 Pu2 N12'
_space_group_name_H-M_alt 'C 1 2/m 1'
_space_group_IT_number 12
_space_group_name_Hall '-C 2y'
_cell_length_a 6.5068
_cell_length_b 11.3760
_cell_length_c 6.4441
_cell_angle_alpha 90.00
_cell_angle_beta 109.30
_cell_angle_gamma 90.00
loop_
_atom_site_label
_atom_site_type_symbol
_atom_site_fract_x
_atom_site_fract_y
_atom_site_fract_z
_atom_site_occupancy
Sr1 Sr 0.0000 0.0000 0.0000 1
Sr2 Sr 0.0000 0.3459 0.0000 1
Ac1 Ac 0.0000 0.1661 0.5000 1
Pu1 Pu 0.0000 0.5000 0.5000 1
N1 N 0.2076 0.3611 0.7062 1
N2 N 0.2286 0.5000 0.2843 1
```

(2)
CaReN3: optimized geometry, PBE.

Results
**Formation energy without anion corrections**: 0.13 eV per atom

Geometry as CIF:
```
data_CaReN3
_chemical_formula_sum 'Ca2 Re2 N6'
_space_group_name_H-M_alt 'P 1 21/m 1'
_space_group_IT_number 11
_space_group_name_Hall '-P 2yb'
_cell_length_a 4.3261
_cell_length_b 4.4703
_cell_length_c 7.1652
_cell_angle_alpha 90.00
_cell_angle_beta 90.04
_cell_angle_gamma 90.00
loop_
_atom_site_label
_atom_site_type_symbol
_atom_site_fract_x
_atom_site_fract_y
_atom_site_fract_z
_atom_site_occupancy
Ca1 Ca 0.0014 0.2500 0.2335 1
Re1 Re 0.4986 0.2500 0.8119 1
N1 N 0.4991 0.0004 0.5855 1
N2 N 0.4986 0.7500 0.9160 1
```

(3)
DyAlGa2Pd4: optimized geometry, PBE.

Results
**Formation energy**: -0.78 eV per atom

Geometry as CIF:
```
data_DyAlGa2Pd4
_chemical_formula_sum 'Dy3 Al3 Ga6 Pd12'
_space_group_name_H-M_alt 'R -3 m'
_space_group_IT_number 166
_space_group_name_Hall '-R 3 2"'
_cell_length_a 4.3326
_cell_length_b 4.3326
_cell_length_c 25.1129
_cell_angle_alpha 90.00
_cell_angle_beta 90.00
_cell_angle_gamma 120.00
loop_
_atom_site_label
_atom_site_type_symbol
_atom_site_fract_x
_atom_site_fract_y
_atom_site_fract_z
_atom_site_occupancy
Dy1 Dy 0.0000 0.0000 0.0000 1
Al1 Al 0.0000 0.0000 0.5000 1
Ga1 Ga 0.0000 0.0000 0.2465 1
Pd1 Pd 0.0000 0.0000 0.1342 1
Pd2 Pd 0.0000 0.0000 0.4007 1
```

(4)
Cr4WSe: optimized geometry, PBE.

Results
**Formation energy without anion corrections**: 0.43 eV per atom

Geometry as CIF:
```
data_Cr4WSe
_chemical_formula_sum 'Cr16 W4 Se4'
_space_group_name_H-M_alt 'F -4 3 m'
_space_group_IT_number 216
_space_group_name_Hall 'F -4 2 3'
_cell_length_a 6.8355
_cell_length_b 6.8355
_cell_length_c 6.8355
_cell_angle_alpha 90.00
_cell_angle_beta 90.00
_cell_angle_gamma 90.00
loop_
_atom_site_label
_atom_site_type_symbol
_atom_site_fract_x
_atom_site_fract_y
_atom_site_fract_z
_atom_site_occupancy
Cr1 Cr 0.1247 0.1247 0.1247 1
W1 W 0.0000 0.0000 0.5000 1
Se1 Se 0.2500 0.2500 0.7500 1
```

| no. | raw total energy (eV/atom) | magnetization (μB per formula unit) |
| --- | --- | --- |
| 1 | -7.3860 | 2.0 |
| 2 | -7.7545 | 0.0 |
| 3 | -5.1807 | 0.0 |
| 4 | -8.7274 | 0.0 |